# 1
A plane-wave DFT calculation with PBE was carried out for an optimized crystal structure of PuMg5Rh4.

Geometry as POSCAR:
```
PuMg5Rh4
1.0
6.7133 -2.2673 0.0000
6.7133 2.2673 0.0000
-0.2147 0.0000 6.2732
Pu Mg Rh
1 5 4
Direct
0.0000 0.0000 0.0000 Pu
0.0000 0.0000 0.5000 Mg
0.3185 0.3185 0.9844 Mg
0.3330 0.3330 0.4732 Mg
0.6670 0.6670 0.5268 Mg
0.6815 0.6815 0.0156 Mg
0.1573 0.1573 0.2503 Rh
0.4916 0.4916 0.7508 Rh
0.5084 0.5084 0.2492 Rh
0.8427 0.8427 0.7497 Rh
```

Values from the calculation:
The total magnetization comes out at 4.3 μB/f.u. As for the volume: 19.097 Å³ per atom. The calculated total energy comes out at -55.499 eV/cell. The calculation puts the formation energy at -0.379 eV per atom.



# 2
A plane-wave DFT calculation with PBE was carried out for an optimized crystal structure of Ca2MgNiHg.

Geometry as POSCAR:
```
Ca2MgNiHg
1.0
5.3304 0.0000 0.0000
0.0000 5.3304 0.0000
0.0000 0.0000 4.9095
Ca Mg Ni Hg
2 1 1 1
Direct
0.0000 0.5000 0.0000 Ca
0.5000 0.0000 0.0000 Ca
0.0000 0.0000 0.5000 Mg
0.0000 0.0000 0.0000 Ni
0.5000 0.5000 0.5000 Hg
```

Values from the calculation:
The total magnetization comes out at 0.0 μB/f.u. As for the volume: 27.900 Å³ per atom. The relative energy among the computed polymorphs is 0 meV per atom. The calculated total energy comes out at -12.399 eV/cell. The calculation puts the formation energy at -0.144 eV per atom.



# 3
A plane-wave DFT calculation with PBE was carried out for an optimized crystal structure of Tm2CdRe.

Geometry as POSCAR:
```
Tm2CdRe
1.0
3.4477 0.0000 0.0000
0.0000 3.4477 0.0000
0.0000 0.0000 7.6184
Tm Cd Re
2 1 1
Direct
0.0000 0.0000 0.2134 Tm
0.0000 0.0000 0.7866 Tm
0.5000 0.5000 0.5000 Cd
0.5000 0.5000 0.0000 Re
```

Values from the calculation:
The total magnetization comes out at 0.0 μB/f.u. As for the volume: 22.639 Å³ per atom. The calculated total energy comes out at -22.727 eV/cell. The calculation puts the formation energy at -0.105 eV per atom.



# 4
A plane-wave DFT calculation with PBE was carried out for an optimized crystal structure of PaCd2Hg.

Geometry as POSCAR:
```
PaCd2Hg
1.0
1.5897 0.9178 11.0894
-1.5897 0.9178 11.0894
0.0000 -1.8356 11.0894
Pa Cd Hg
1 2 1
Direct
0.0000 0.0000 0.0000 Pa
0.4945 0.4945 0.4945 Cd
0.5823 0.5823 0.5823 Cd
0.7496 0.7496 0.7496 Hg
```

Values from the calculation:
The total magnetization comes out at 0.0 μB/f.u. As for the volume: 24.269 Å³ per atom. The relative energy among the computed polymorphs is 20 meV per atom. The calculated total energy comes out at -11.419 eV/cell. The calculation puts the formation energy at 0.052 eV per atom.



# 5
A plane-wave DFT calculation with PBE was carried out for an optimized crystal structure of PmNd3Pb4.

Geometry as POSCAR:
```
PmNd3Pb4
1.0
-1.8502 3.7217 9.4606
1.8502 -3.7217 9.4606
1.8502 3.7217 -9.4606
Pm Nd Pb
1 3 4
Direct
0.0000 0.0000 0.0000 Pm
0.2190 0.7190 0.5000 Nd
0.5000 0.5000 0.0000 Nd
0.7810 0.2810 0.5000 Nd
0.1563 0.8726 0.2838 Pb
0.4112 0.1274 0.2838 Pb
0.5888 0.8726 0.7162 Pb
0.8437 0.1274 0.7162 Pb
```

Values from the calculation:
The total magnetization comes out at 0.0 μB/f.u. As for the volume: 32.571 Å³ per atom. The relative energy among the computed polymorphs is 112 meV per atom. The calculated total energy comes out at -37.075 eV/cell. The calculation puts the formation energy at -0.398 eV per atom.



# 6
A plane-wave DFT calculation with PBE was carried out for an optimized crystal structure of CaDy2HoTe4.

Geometry as POSCAR:
```
CaDy2HoTe4
1.0
7.5878 0.0000 0.0000
0.0000 4.3553 0.0000
-2.4850 0.0000 7.1809
Ca Dy Ho Te
1 2 1 4
Direct
0.0000 0.0000 0.0000 Ca
0.0000 0.5000 0.5000 Dy
0.5000 0.0000 0.5000 Dy
0.5000 0.5000 0.0000 Ho
0.2518 0.0000 0.7505 Te
0.2527 0.5000 0.2517 Te
0.7473 0.5000 0.7483 Te
0.7482 0.0000 0.2495 Te
```

Values from the calculation:
The total magnetization comes out at 0.0 μB/f.u. As for the volume: 29.663 Å³ per atom. The calculated total energy comes out at -39.172 eV/cell. The uncorrected formation energy comes out at -130.5 kJ/mol of atoms.



# 7
A plane-wave DFT calculation with PBE was carried out for an optimized crystal structure of LaTb8Sc2.

Geometry as POSCAR:
```
LaTb8Sc2
1.0
4.4345 -7.9985 0.0000
4.4345 7.9985 0.0000
-3.1344 0.0000 4.8878
La Tb Sc
1 8 2
Direct
0.0000 0.0000 0.0000 La
0.0984 0.3411 0.6766 Tb
0.2090 0.7910 0.0000 Tb
0.3411 0.0984 0.6766 Tb
0.4270 0.4270 0.2088 Tb
0.5730 0.5730 0.7912 Tb
0.6589 0.9016 0.3234 Tb
0.7910 0.2090 0.0000 Tb
0.9016 0.6589 0.3234 Tb
0.3094 0.6906 0.5000 Sc
0.6906 0.3094 0.5000 Sc
```

Values from the calculation:
The total magnetization comes out at 0.0 μB/f.u. As for the volume: 31.521 Å³ per atom. The relative energy among the computed polymorphs is 125 meV per atom. The calculated total energy comes out at -52.778 eV/cell. The calculation puts the formation energy at 0.169 eV per atom.



# 8
A plane-wave DFT calculation with PBE was carried out for an optimized crystal structure of Cr3NiI.

Geometry as POSCAR:
```
Cr3NiI
1.0
4.7204 0.0000 0.0000
0.0000 4.7204 0.0000
0.0000 0.0000 4.7204
Cr Ni I
3 1 1
Direct
0.0000 0.0000 0.5000 Cr
0.0000 0.5000 0.0000 Cr
0.5000 0.0000 0.0000 Cr
0.0000 0.0000 0.0000 Ni
0.5000 0.5000 0.5000 I
```

Values from the calculation:
The total magnetization comes out at 12.5 μB/f.u. As for the volume: 21.036 Å³ per atom. The relative energy among the computed polymorphs is 0 meV per atom. The calculated total energy comes out at -30.739 eV/cell. The uncorrected formation energy comes out at 105.4 kJ/mol of atoms.



# 9
A plane-wave DFT calculation with PBE was carried out for an optimized crystal structure of Re2HOsRu.

Geometry as POSCAR:
```
Re2HOsRu
1.0
3.9305 0.0000 0.0000
0.0000 3.9305 0.0000
0.0000 0.0000 3.9025
Re H Os Ru
2 1 1 1
Direct
0.0000 0.5000 0.0000 Re
0.5000 0.0000 0.0000 Re
0.0000 0.0000 0.0000 H
0.0000 0.0000 0.5000 Os
0.5000 0.5000 0.5000 Ru
```

Values from the calculation:
The total magnetization comes out at 0.0 μB/f.u. As for the volume: 12.058 Å³ per atom. The relative energy among the computed polymorphs is 39 meV per atom. The calculated total energy comes out at -47.980 eV/cell.



# 10
A plane-wave DFT calculation with PBE was carried out for an optimized crystal structure of TiSbPd2.

Geometry as POSCAR:
```
TiSbPd2
1.0
-2.0061 2.0061 9.2317
2.0061 -2.0061 9.2317
2.0061 2.0061 -9.2317
Ti Sb Pd
2 2 4
Direct
0.0000 0.0000 0.0000 Ti
0.7500 0.2500 0.5000 Ti
0.2500 0.7500 0.5000 Sb
0.5000 0.5000 0.0000 Sb
0.1204 0.6250 0.9954 Pd
0.3750 0.3704 0.4954 Pd
0.6296 0.1250 0.0046 Pd
0.8750 0.8796 0.5046 Pd
```

Values from the calculation:
The total magnetization comes out at 0.0 μB/f.u. As for the volume: 18.576 Å³ per atom. The calculated total energy comes out at -47.282 eV/cell. The uncorrected formation energy comes out at -29.9 kJ/mol of atoms.



# 11
A plane-wave DFT calculation with PBE was carried out for an optimized crystal structure of GdInCoAg.

Geometry as POSCAR:
```
GdInCoAg
1.0
0.0000 3.4120 3.4120
3.4120 0.0000 3.4120
3.4120 3.4120 0.0000
Gd In Co Ag
1 1 1 1
Direct
0.0000 0.0000 0.0000 Gd
0.5000 0.5000 0.5000 In
0.7500 0.7500 0.7500 Co
0.2500 0.2500 0.2500 Ag
```

Values from the calculation:
The total magnetization comes out at 5.9 μB/f.u. As for the volume: 19.860 Å³ per atom. The calculated total energy comes out at -27.199 eV/cell. The calculation puts the formation energy at -0.106 eV per atom.



# 12
A plane-wave DFT calculation with PBE was carried out for an optimized crystal structure of MgAlTcW.

Geometry as POSCAR:
```
MgAlTcW
1.0
0.0000 3.1358 3.1358
3.1358 0.0000 3.1358
3.1358 3.1358 0.0000
Mg Al Tc W
1 1 1 1
Direct
0.0000 0.0000 0.0000 Mg
0.7500 0.7500 0.7500 Al
0.2500 0.2500 0.2500 Tc
0.5000 0.5000 0.5000 W
```

Values from the calculation:
The total magnetization comes out at 0.0 μB/f.u. As for the volume: 15.417 Å³ per atom. The calculated total energy comes out at -28.818 eV/cell. The calculation puts the formation energy at -0.040 eV per atom.



# 13
A plane-wave DFT calculation with PBE was carried out for an optimized crystal structure of ErTm4S7.

Geometry as POSCAR:
```
ErTm4S7
1.0
6.3358 -1.8778 0.0000
6.3358 1.8778 0.0000
-2.8688 0.0000 11.1243
Er Tm S
1 4 7
Direct
0.0000 0.0000 0.0000 Er
0.1122 0.1122 0.4216 Tm
0.2238 0.2238 0.8424 Tm
0.4119 0.4119 0.6083 Tm
0.8124 0.8124 0.2347 Tm
0.0705 0.0705 0.6361 S
0.1538 0.1538 0.2071 S
0.3698 0.3698 0.0686 S
0.4533 0.4533 0.3704 S
0.6121 0.6121 0.9203 S
0.7711 0.7711 0.4725 S
0.8525 0.8525 0.7736 S
```

Values from the calculation:
The total magnetization comes out at 0.0 μB/f.u. As for the volume: 22.059 Å³ per atom. The calculated total energy comes out at -76.024 eV/cell. The uncorrected formation energy comes out at -198.5 kJ/mol of atoms.